# 1
Compound: Zr2Pt2Au
Source: Alexandria via LeMat-Bulk
Functional: PBEsol
Structure: relaxed

Calculated values
- Symmetry: P4/mbm, No. 127
- ΔH_f (0 K): -0.91 eV/atom

Geometry as extended XYZ:
```
10
Lattice="3.337 0.000 0.000 0.000 7.417 0.000 0.000 0.000 7.417" Properties=species:S:1:pos:R:3 pbc="T T T"
Zr 1.668 2.434 1.275
Zr 1.668 6.142 2.434
Zr 1.668 1.275 4.983
Zr 1.668 4.983 6.142
Pt 0.000 0.964 2.745
Pt 0.000 4.672 0.964
Pt 0.000 2.745 6.453
Pt 0.000 6.453 4.672
Au 0.000 3.708 3.708
Au 0.000 0.000 0.000
```



# 2
Compound: RbAu5
Source: Alexandria via LeMat-Bulk
Functional: PBEsol
Structure: relaxed

Calculated values
- Symmetry: P6/mmm, No. 191
- ΔH_f (0 K): -0.15 eV/atom

Geometry as extended XYZ:
```
6
Lattice="4.442 0.000 0.000 0.000 5.748 0.000 0.000 -2.874 4.978" Properties=species:S:1:pos:R:3 pbc="T T T"
Au 0.000 2.874 1.659
Au 2.221 -1.437 2.489
Au 2.221 1.437 2.489
Au 2.221 2.874 0.000
Au 0.000 0.000 3.318
Rb 0.000 0.000 0.000
```



# 3
Compound: Rb2Au3
Source: Alexandria via LeMat-Bulk
Functional: PBEsol
Structure: relaxed

Calculated values
- Symmetry: Immm, No. 71
- ΔH_f (0 K): -0.22 eV/atom

Geometry as extended XYZ:
```
5
Lattice="4.921 0.000 0.000 0.000 5.440 0.000 -2.461 -2.720 5.244" Properties=species:S:1:pos:R:3 pbc="T T T"
Au 2.461 1.370 0.000
Au 0.000 0.000 0.000
Au 2.461 4.070 0.000
Rb 2.461 0.000 3.182
Rb 0.000 2.720 2.062
```



# 4
Compound: RbAuS
Source: Alexandria via LeMat-Bulk
Functional: PBEsol
Structure: relaxed

Calculated values
- E_form (uncorrected): -0.724 eV/atom
- Symmetry: Cmcm, No. 63

Geometry as extended XYZ:
```
6
Lattice="-1.353 1.386 4.841 -3.953 -3.103 -1.392 3.222 -5.173 2.382" Properties=species:S:1:pos:R:3 pbc="T T T"
S -2.628 -3.499 0.449
S 0.544 -3.391 5.382
Au 0.000 0.000 0.000
Au 1.611 -2.587 1.191
Rb -1.519 -1.584 3.109
Rb -0.566 -5.306 2.723
```



For the records above, the corresponding final energy values read -8.11, -3.59, -2.99, -3.84 eV/atom.